A plane-wave DFT calculation with SCAN was carried out for a crystal of MgMnSb2 relaxed with PBEsol.

abc: 3.8960 3.8960 7.2024
angles: 74.31 74.31 60.00
Last column: magnetic moment on the atom in μB.
Atoms (fractional coordinates):
1 Sb 0.2625 0.2625 0.2125  -0.14
2 Sb 0.7375 0.7375 0.7875  -0.14
3 Mg 0.5000 0.5000 0.5000  0.03
4 Mn 0.0000 0.0000 0.0000  3.62

Properties
Raw formation energy (eV per formula unit): -0.8
Crystal system: trigonal
Spin magnetization (Bohr magnetons per cell): 3.37
SG: R-3m

A plane-wave DFT calculation with SCAN was carried out for a crystal of MgMnSb2 relaxed with PBEsol.

abc: 3.9134 3.9134 5.7576
angles: 90.00 90.00 90.00
Last column: magnetic moment on the atom in μB.
Atoms (fractional coordinates):
1 Mg 0.0000 0.0000 0.4461  0.00
2 Mn 0.5000 0.5000 0.8134  4.06
3 Sb 0.0000 0.0000 0.9277  -0.09
4 Sb 0.5000 0.5000 0.3128  -0.04

Properties
Raw formation energy (eV per formula unit): -0.5
Crystal system: tetragonal
Spin magnetization (Bohr magnetons per cell): 4.03
SG: P4mm

A plane-wave DFT calculation with SCAN was carried out for a crystal of MgMnSb2 relaxed with PBEsol.

abc: 3.6240 3.6240 6.3958
angles: 90.00 90.00 90.00
Last column: magnetic moment on the atom in μB.
Atoms (fractional coordinates):
1 Mg 0.5000 0.5000 0.0000  -0.01
2 Mn 0.5000 0.5000 0.5000  3.91
3 Sb 0.0000 0.0000 0.7258  -0.05
4 Sb 0.0000 0.0000 0.2742  -0.05

Properties
Raw formation energy (eV per formula unit): -0.2
Crystal system: tetragonal
Spin magnetization (Bohr magnetons per cell): 3.85
SG: P4/mmm

A plane-wave DFT calculation with SCAN was carried out for a crystal of MgSc2Mn relaxed with PBEsol.

abc: 3.4494 4.7932 4.7932
angles: 90.00 90.00 90.00
Last column: magnetic moment on the atom in μB.
Atoms (fractional coordinates):
1 Mg 0.5000 0.5000 0.5000  -0.01
2 Mn 0.5000 0.0000 0.0000  3.99
3 Sc 0.0000 0.0000 0.5000  -0.18
4 Sc 0.0000 0.5000 0.0000  -0.18

Properties
Crystal system: tetragonal
E_form (eV/atom): -0.080
Spin magnetization (Bohr magnetons per cell): 3.54
SG: P4/mmm

A plane-wave DFT calculation with SCAN was carried out for a crystal of MgSc2Mn relaxed with PBEsol.

abc: 3.1559 3.1559 7.7296
angles: 90.00 90.00 90.00
Last column: magnetic moment on the atom in μB.
Atoms (fractional coordinates):
1 Sc 0.0000 0.0000 0.6938  -0.29
2 Sc 0.0000 0.0000 0.3062  -0.29
3 Mg 0.5000 0.5000 0.0000  0.01
4 Mn 0.5000 0.5000 0.5000  2.95

Properties
Crystal system: tetragonal
E_form (eV/atom): -0.044
Spin magnetization (Bohr magnetons per cell): 2.20
SG: P4/mmm

A plane-wave DFT calculation with SCAN was carried out for a crystal of MgScMn2Zn relaxed with PBEsol.

abc: 4.6280 4.6280 4.6434
angles: 90.00 90.00 90.00
Last column: magnetic moment on the atom in μB.
Atoms (fractional coordinates):
1 Sc 0.5000 0.5000 0.5000  -0.29
2 Zn 0.0000 0.0000 0.0000  -0.04
3 Mn 0.0000 0.5000 0.0000  4.01
4 Mn 0.5000 0.0000 0.0000  4.01
5 Mg 0.0000 0.0000 0.5000  -0.03

Properties
Crystal system: tetragonal
E_form (eV/atom): 0.310
Spin magnetization (Bohr magnetons per cell): 7.79
SG: P4/mmm

A plane-wave DFT calculation with SCAN was carried out for a crystal of Mg3MnSe relaxed with PBEsol.

abc: 5.0290 5.0290 5.0290
angles: 90.00 90.00 90.00
Last column: magnetic moment on the atom in μB.
Atoms (fractional coordinates):
1 Mg 0.0000 0.5000 0.0000  -0.01
2 Mg 0.0000 0.0000 0.5000  -0.01
3 Mg 0.5000 0.0000 0.0000  -0.01
4 Mn 0.0000 0.0000 0.0000  3.62
5 Se 0.5000 0.5000 0.5000  0.12

Properties
Raw formation energy (eV per formula unit): 2.5
Crystal system: cubic
Spin magnetization (Bohr magnetons per cell): 4.10
SG: Pm-3m

A plane-wave DFT calculation with SCAN was carried out for a crystal of MgMnTc2Sn relaxed with PBEsol.

abc: 4.8748 4.8814 4.8814
angles: 90.00 90.00 90.00
Last column: magnetic moment on the atom in μB.
Atoms (fractional coordinates):
1 Mg 0.5000 0.0000 0.0000  0.02
2 Mn 0.5000 0.5000 0.5000  4.66
3 Sn 0.0000 0.0000 0.0000  0.05
4 Tc 0.0000 0.0000 0.5000  -1.76
5 Tc 0.0000 0.5000 0.0000  -1.76

Properties
Crystal system: tetragonal
E_form (eV/atom): 1.484
Spin magnetization (Bohr magnetons per cell): 1.50
SG: P4/mmm

A plane-wave DFT calculation with SCAN was carried out for a crystal of SrMg2Mn relaxed with PBEsol.

abc: 3.5114 3.5575 8.0723
angles: 90.00 90.00 90.00
Last column: magnetic moment on the atom in μB.
Atoms (fractional coordinates):
1 Mg 0.0000 0.0000 0.0537  0.01
2 Mg 0.5000 0.5000 0.2840  -0.02
3 Mn 0.0000 0.0000 0.4431  4.13
4 Sr 0.5000 0.5000 0.7191  -0.01

Properties
Crystal system: orthorhombic
E_form (eV/atom): 0.114
Spin magnetization (Bohr magnetons per cell): 4.33
SG: Pmm2

A plane-wave DFT calculation with SCAN was carried out for a crystal of SrMg2Mn relaxed with PBEsol.

abc: 3.2280 5.8613 5.8613
angles: 113.81 90.00 90.00
Last column: magnetic moment on the atom in μB.
Atoms (fractional coordinates):
1 Mg 0.0000 0.5000 0.0000  -0.02
2 Mg 0.0000 0.0000 0.5000  -0.02
3 Mn 0.5000 0.0000 0.0000  4.28
4 Sr 0.5000 0.5000 0.5000  -0.06

Properties
Crystal system: orthorhombic
E_form (eV/atom): 0.292
Spin magnetization (Bohr magnetons per cell): 4.07
SG: Cmmm

A plane-wave DFT calculation with SCAN was carried out for a crystal of Mg2TaMn relaxed with PBEsol.

abc: 2.8481 2.8481 8.7348
angles: 90.00 90.00 90.00
Last column: magnetic moment on the atom in μB.
Atoms (fractional coordinates):
1 Mg 0.0000 0.0000 0.9887  0.01
2 Mg 0.5000 0.5000 0.2798  -0.03
3 Mn 0.0000 0.0000 0.5095  3.65
4 Ta 0.5000 0.5000 0.7221  0.08

Properties
Distance to the lowest polymorph of the same formula (kcal/mol of atoms): 0.000
Crystal system: tetragonal
E_form (eV/atom): 0.105
Spin magnetization (Bohr magnetons per cell): 3.92
SG: P4mm

A plane-wave DFT calculation with SCAN was carried out for a crystal of MgTaMn2 relaxed with PBEsol.

abc: 4.3318 4.3318 4.3318
angles: 60.00 60.00 60.00
Last column: magnetic moment on the atom in μB.
Atoms (fractional coordinates):
1 Mg 0.5000 0.5000 0.5000  0.01
2 Mn 0.0000 0.0000 0.0000  -1.36
3 Mn 0.2500 0.2500 0.2500  3.75
4 Ta 0.7500 0.7500 0.7500  0.43

Properties
Crystal system: cubic
E_form (eV/atom): 0.243
Spin magnetization (Bohr magnetons per cell): 3.06
SG: F-43m

A plane-wave DFT calculation with SCAN was carried out for a crystal of MgTaMn2 relaxed with PBEsol.

abc: 3.0970 3.0970 6.1144
angles: 90.00 90.00 90.00
Last column: magnetic moment on the atom in μB.
Atoms (fractional coordinates):
1 Mg 0.5000 0.5000 0.5000  -0.05
2 Mn 0.0000 0.0000 0.7777  2.78
3 Mn 0.0000 0.0000 0.2223  2.78
4 Ta 0.5000 0.5000 0.0000  -0.84

Properties
Crystal system: tetragonal
E_form (eV/atom): 0.018
Spin magnetization (Bohr magnetons per cell): 4.43
SG: P4/mmm

A plane-wave DFT calculation with SCAN was carried out for a crystal of Mg2TaMn relaxed with PBEsol.

abc: 3.7642 3.7642 4.6212
angles: 90.00 90.00 90.00
Last column: magnetic moment on the atom in μB.
Atoms (fractional coordinates):
1 Mg 0.0000 0.5000 0.0000  -0.03
2 Mg 0.5000 0.0000 0.0000  -0.03
3 Mn 0.5000 0.5000 0.5000  3.02
4 Ta 0.0000 0.0000 0.5000  -0.88

Properties
Distance to the lowest polymorph of the same formula (kcal/mol of atoms): 4.020
Crystal system: tetragonal
E_form (eV/atom): 0.279
Spin magnetization (Bohr magnetons per cell): 1.75
SG: P4/mmm